# KBa3P

KBa3P at its PBEsol-relaxed geometry (SCAN, Alexandria).

Geometry as extended XYZ:
```
5
Lattice="-2.613 -2.248 5.383 5.759 -0.054 2.773 -0.930 5.984 2.047" Properties=species:S:1:pos:R:3 pbc="T T T"
Ba -1.307 -1.124 2.691
Ba 2.879 -0.027 1.387
Ba -0.465 2.992 1.024
P 0.000 0.000 0.000
K 1.108 1.841 5.102
```

total energy = -27.994 eV/atom
space-group type = Pm-3m
formation energy from the elements = -0.52 eV per atom
Fermi-level density of states = 0.6272 states/eV/atom